This record from the Alexandria database describes an optimized crystal structure of Rb3AuBr6. The functional is PBE.

Unit cell a=8.457 b=8.457 c=11.399 alpha=90.00 beta=90.00 gamma=90.00
Space group I4/mmm (No. 139)
Unique sites:
Rb 0.000 0.000 0.000
Rb 0.000 0.500 0.250
Au 0.000 0.000 0.500
Br 0.000 0.000 0.281
Br 0.231 0.231 0.500

Properties
VASP energy in eV/cell: -52.09
Polymorph energy (0 for the lowest one) in kJ/mol of formula units: 137.4
Formation energy from raw total energies in eV per atom: -0.9826
Calculated volume in Å³/f.u.: 407.6
Total magnetic moment in μB/f.u.: 0.0


This record from the Alexandria database describes an optimized crystal structure of Rb2ReAuBr6. The functional is PBE.

Unit cell a=7.748 b=7.748 c=11.097 alpha=90.00 beta=90.00 gamma=90.00
Space group I4/mmm (No. 139)
Unique sites:
Rb 0.000 0.500 0.250
Re 0.000 0.000 0.000
Au 0.000 0.000 0.500
Br 0.000 0.000 0.232
Br 0.236 0.236 0.000

Properties
VASP energy in eV/cell: -68.91
Formation energy from raw total energies in eV per atom: -0.6759
Calculated volume in Å³/f.u.: 333.1
Total magnetic moment in μB/f.u.: 3.5


This record from the Alexandria database describes an optimized crystal structure of RbRuAuBr6. The functional is PBE.

Unit cell a=6.885 b=6.937 c=7.429 alpha=92.48 beta=92.96 gamma=114.00
Space group P1 (No. 1)
Unique sites:
Rb 0.000 0.000 0.000
Ru 0.363 0.642 0.506
Au 0.695 0.287 0.509
Br 0.080 0.667 0.305
Br 0.090 0.356 0.660
Br 0.378 0.911 0.747
Br 0.403 0.371 0.286
Br 0.644 0.932 0.350
Br 0.661 0.591 0.700

Properties
VASP energy in eV/cell: -28.05
Formation energy from raw total energies in eV per atom: -0.4986
Calculated volume in Å³/f.u.: 322.9
Total magnetic moment in μB/f.u.: 1.7


This record from the Alexandria database describes an optimized crystal structure of Rb2AuSBr6. The functional is PBE.

Unit cell a=7.590 b=7.590 c=11.449 alpha=90.00 beta=90.00 gamma=90.00
Space group I4/mmm (No. 139)
Unique sites:
Rb 0.000 0.500 0.250
Au 0.000 0.000 0.000
S 0.000 0.000 0.500
Br 0.000 0.000 0.220
Br 0.237 0.237 0.500

Properties
VASP energy in eV/cell: -52.99
Formation energy from raw total energies in eV per atom: -0.7116
Calculated volume in Å³/f.u.: 329.8
Total magnetic moment in μB/f.u.: 0.0


This record from the Alexandria database describes an optimized crystal structure of RbSbAu2Br. The functional is PBE.

Unit cell a=5.301 b=5.301 c=6.163 alpha=90.00 beta=90.00 gamma=90.00
Space group P4/mmm (No. 123)
Unique sites:
Rb 0.000 0.000 0.000
Sb 0.500 0.500 0.500
Au 0.000 0.500 0.500
Br 0.500 0.500 0.000

Properties
VASP energy in eV/cell: -15.38
Formation energy from raw total energies in eV per atom: -0.4124
Calculated volume in Å³/f.u.: 173.2
Total magnetic moment in μB/f.u.: 0.0


This record from the Alexandria database describes an optimized crystal structure of Rb2AuSeBr. The functional is PBE.

Unit cell a=6.663 b=6.663 c=4.832 alpha=90.00 beta=90.00 gamma=90.00
Space group P4/mmm (No. 123)
Unique sites:
Rb 0.000 0.500 0.000
Au 0.000 0.000 0.500
Se 0.000 0.000 0.000
Br 0.500 0.500 0.500

Properties
VASP energy in eV/cell: -14.94
Formation energy from raw total energies in eV per atom: -0.9140
Calculated volume in Å³/f.u.: 214.6
Total magnetic moment in μB/f.u.: 0.0


This record from the Alexandria database describes an optimized crystal structure of RbAuSeBr2. The functional is PBE.

Unit cell a=5.556 b=5.556 c=5.134 alpha=90.00 beta=90.00 gamma=90.00
Space group P4/mmm (No. 123)
Unique sites:
Rb 0.000 0.000 0.000
Au 0.500 0.500 0.500
Se 0.500 0.500 0.000
Br 0.000 0.500 0.500

Properties
VASP energy in eV/cell: -13.59
Polymorph energy (0 for the lowest one) in kJ/mol of formula units: 0.0
Formation energy from raw total energies in eV per atom: -0.5029
Calculated volume in Å³/f.u.: 158.5
Total magnetic moment in μB/f.u.: 1.0


This record from the Alexandria database describes an optimized crystal structure of RbAuSeBr2. The functional is PBE.

Unit cell a=6.395 b=6.395 c=6.422 alpha=90.00 beta=90.00 gamma=90.00
Space group P4/mmm (No. 123)
Unique sites:
Rb 0.000 0.000 0.000
Au 0.500 0.500 0.500
Se 0.000 0.000 0.500
Br 0.000 0.500 0.000

Properties
VASP energy in eV/cell: -8.25
Polymorph energy (0 for the lowest one) in kJ/mol of formula units: 515.7
Formation energy from raw total energies in eV per atom: 0.5660
Calculated volume in Å³/f.u.: 262.6
Total magnetic moment in μB/f.u.: 2.0


This record from the Alexandria database describes an optimized crystal structure of RbSnAuBr2. The functional is PBE.

Unit cell a=5.931 b=5.931 c=5.255 alpha=90.00 beta=90.00 gamma=90.00
Space group P4/mmm (No. 123)
Unique sites:
Rb 0.000 0.000 0.000
Sn 0.500 0.500 0.500
Au 0.500 0.500 0.000
Br 0.000 0.500 0.500

Properties
VASP energy in eV/cell: -15.65
Formation energy from raw total energies in eV per atom: -0.8122
Calculated volume in Å³/f.u.: 184.8
Total magnetic moment in μB/f.u.: 0.0


This record from the Alexandria database describes an optimized crystal structure of RbSr2AuBr. The functional is PBE.

Unit cell a=5.940 b=5.940 c=7.579 alpha=90.00 beta=90.00 gamma=90.00
Space group P4/mmm (No. 123)
Unique sites:
Rb 0.000 0.000 0.000
Sr 0.000 0.500 0.500
Au 0.500 0.500 0.500
Br 0.500 0.500 0.000

Properties
VASP energy in eV/cell: -11.75
Formation energy from raw total energies in eV per atom: -0.4937
Calculated volume in Å³/f.u.: 267.4
Total magnetic moment in μB/f.u.: 0.0


This record from the Alexandria database describes an optimized crystal structure of Rb2SrAu2Br6. The functional is PBE.

Unit cell a=14.630 b=8.120 c=8.329 alpha=90.00 beta=122.18 gamma=90.00
Space group C2/m (No. 12)
Unique sites:
Rb 0.241 0.000 0.210
Sr 0.000 0.000 0.500
Au 0.056 0.500 0.211
Br 0.069 0.249 0.819
Br 0.239 0.000 0.626

Properties
VASP energy in eV/cell: -66.33
Formation energy from raw total energies in eV per atom: -1.1780
Calculated volume in Å³/f.u.: 418.7
Total magnetic moment in μB/f.u.: 0.0


This record from the Alexandria database describes an optimized crystal structure of Rb2TaAuBr6. The functional is PBE.

Unit cell a=8.172 b=8.172 c=10.662 alpha=90.00 beta=90.00 gamma=90.00
Space group I4/mmm (No. 139)
Unique sites:
Rb 0.000 0.500 0.250
Ta 0.000 0.000 0.000
Au 0.000 0.000 0.500
Br 0.000 0.000 0.248
Br 0.225 0.225 0.000

Properties
VASP energy in eV/cell: -71.97
Formation energy from raw total energies in eV per atom: -0.8883
Calculated volume in Å³/f.u.: 356.0
Total magnetic moment in μB/f.u.: 1.4


This record from the Alexandria database describes an optimized crystal structure of Rb6TeAu2Br3. The functional is PBE.

Unit cell a=22.338 b=4.905 c=10.348 alpha=90.00 beta=106.51 gamma=90.00
Space group C2/m (No. 12)
Unique sites:
Rb 0.005 0.000 0.236
Rb 0.166 0.500 0.080
Rb 0.171 0.500 0.573
Te 0.000 0.500 0.500
Au 0.164 0.000 0.825
Br 0.000 0.500 0.000
Br 0.168 0.000 0.325

Properties
VASP energy in eV/cell: -65.50
Formation energy from raw total energies in eV per atom: -1.0192
Calculated volume in Å³/f.u.: 543.6
Total magnetic moment in μB/f.u.: 1.0


This record from the Alexandria database describes an optimized crystal structure of RbTlAu2Br8. The functional is PBE.

Unit cell a=7.855 b=7.855 c=14.162 alpha=90.00 beta=90.00 gamma=90.00
Space group I-4 (No. 82)
Unique sites:
Rb 0.000 0.000 0.000
Tl 0.000 0.500 0.750
Au 0.000 0.000 0.500
Au 0.000 0.500 0.250
Br 0.059 0.310 0.513
Br 0.069 0.809 0.240

Properties
VASP energy in eV/cell: -59.16
Formation energy from raw total energies in eV per atom: -0.5255
Calculated volume in Å³/f.u.: 436.9
Total magnetic moment in μB/f.u.: 0.0


This record from the Alexandria database describes an optimized crystal structure of Rb2TlAuBr. The functional is PBE.

Unit cell a=6.634 b=6.634 c=5.324 alpha=90.00 beta=90.00 gamma=90.00
Space group P4/mmm (No. 123)
Unique sites:
Rb 0.000 0.500 0.000
Tl 0.000 0.000 0.500
Au 0.000 0.000 0.000
Br 0.500 0.500 0.500

Properties
VASP energy in eV/cell: -11.98
Formation energy from raw total energies in eV per atom: -0.5454
Calculated volume in Å³/f.u.: 234.4
Total magnetic moment in μB/f.u.: 0.0


This record from the Alexandria database describes an optimized crystal structure of Rb2ZnAuBr6. The functional is PBE.

Unit cell a=7.727 b=7.727 c=11.038 alpha=90.00 beta=90.00 gamma=90.00
Space group I4/mmm (No. 139)
Unique sites:
Rb 0.000 0.500 0.250
Zn 0.000 0.000 0.000
Au 0.000 0.000 0.500
Br 0.000 0.000 0.274
Br 0.231 0.231 0.000

Properties
VASP energy in eV/cell: -51.76
Formation energy from raw total energies in eV per atom: -0.9358
Calculated volume in Å³/f.u.: 329.5
Total magnetic moment in μB/f.u.: 0.0


This record from the Alexandria database describes an optimized crystal structure of ReAuBr2. The functional is PBE.

Unit cell a=6.718 b=6.718 c=6.718 alpha=90.00 beta=90.00 gamma=90.00
Space group Fm-3m (No. 225)
Unique sites:
Re 0.000 0.000 0.000
Au 0.000 0.000 0.500
Br 0.250 0.250 0.250

Properties
VASP energy in eV/cell: -55.32
Polymorph energy (0 for the lowest one) in kJ/mol of formula units: 370.8
Formation energy from raw total energies in eV per atom: 1.3101
Calculated volume in Å³/f.u.: 75.8
Total magnetic moment in μB/f.u.: 0.0


This record from the Alexandria database describes an optimized crystal structure of ReAuBr. The functional is PBE.

Unit cell a=3.0455 b=3.0455 c=7.0401 alpha=90.00 beta=90.00 gamma=120.00
Space group P3m1 (No. 156)
Unique sites:
Re 0.0000 0.0000 0.0000
Au 0.6667 0.3333 0.3076
Br 0.3333 0.6667 0.7296

Properties
VASP energy in eV/cell: -15.20
Polymorph energy (0 for the lowest one) in kJ/mol of formula units: 0.0
Formation energy from raw total energies in eV per atom: 0.7332
Calculated volume in Å³/f.u.: 56.5
Total magnetic moment in μB/f.u.: 0.0


This record from the Alexandria database describes an optimized crystal structure of ReAuBr2. The functional is PBE.

Unit cell a=10.059 b=3.088 c=7.514 alpha=90.00 beta=111.07 gamma=90.00
Space group Cm (No. 8)
Unique sites:
Re 0.000 0.000 0.000
Au 0.266 0.000 0.999
Br 0.096 0.500 0.290
Br 0.440 0.000 0.710

Properties
VASP energy in eV/cell: -34.85
Polymorph energy (0 for the lowest one) in kJ/mol of formula units: 24.2
Formation energy from raw total energies in eV per atom: 0.4121
Calculated volume in Å³/f.u.: 108.9
Total magnetic moment in μB/f.u.: 1.2


This record from the Alexandria database describes an optimized crystal structure of Re3AuBr. The functional is PBE.

Unit cell a=4.540 b=4.540 c=4.540 alpha=90.00 beta=90.00 gamma=90.00
Space group Pm-3m (No. 221)
Unique sites:
Re 0.000 0.000 0.500
Au 0.500 0.500 0.500
Br 0.000 0.000 0.000

Properties
VASP energy in eV/cell: -30.68
Polymorph energy (0 for the lowest one) in kJ/mol of formula units: 0.0
Formation energy from raw total energies in eV per atom: 2.3231
Calculated volume in Å³/f.u.: 93.6
Total magnetic moment in μB/f.u.: 0.0